# RbNaTl2Pt, optimized geometry, DFT PBE
data_RbNaTl2Pt
_cell_length_a 5.3808
_cell_length_b 5.3808
_cell_length_c 6.3728
_cell_angle_alpha 90.00
_cell_angle_beta 90.00
_cell_angle_gamma 90.00
_space_group_name_H-M_alt 'P 1'
_space_group_IT_number 1
loop_
_space_group_symop_operation_xyz
'x,y,z'
loop_
_atom_site_label
_atom_site_fract_x
_atom_site_fract_y
_atom_site_fract_z
Rb1 0.0000 0.0000 0.5000
Tl1 0.5000 0.0000 0.0000
Tl2 0.0000 0.5000 0.0000
Pt1 0.0000 0.0000 0.0000
Na1 0.5000 0.5000 0.5000
# - space group = No. 123
# - energy above the most stable polymorph in this dataset (meV/atom) = 123.4
# - magnetization (μB/cell) = 0.00
# - DFT total energy (eV per cell) = -13.19
# - density of states at the Fermi level (states/eV/atom) = 0.4732
# - energy of formation from the pure elements (meV/atom) = -25

***

# Rb2NaTl12Pt3, optimized geometry, DFT PBE
data_Rb2NaTl12Pt3
_cell_length_a 8.9688
_cell_length_b 8.9688
_cell_length_c 8.9688
_cell_angle_alpha 72.10
_cell_angle_beta 72.10
_cell_angle_gamma 72.10
_space_group_name_H-M_alt 'P 1'
_space_group_IT_number 1
loop_
_space_group_symop_operation_xyz
'x,y,z'
loop_
_atom_site_label
_atom_site_fract_x
_atom_site_fract_y
_atom_site_fract_z
Pt1 0.5000 0.0000 0.0000
Pt2 0.0000 0.5000 0.0000
Pt3 0.0000 0.0000 0.5000
Tl1 0.0996 0.7224 0.7224
Tl2 0.2776 0.9004 0.2776
Tl3 0.6255 0.1470 0.1470
Tl4 0.7224 0.0996 0.7224
Tl5 0.8530 0.8530 0.3745
Tl6 0.2776 0.2776 0.9004
Tl7 0.1470 0.6255 0.1470
Tl8 0.9004 0.2776 0.2776
Tl9 0.8530 0.3745 0.8530
Tl10 0.7224 0.7224 0.0996
Tl11 0.3745 0.8530 0.8530
Tl12 0.1470 0.1470 0.6255
Rb1 0.4074 0.4074 0.4074
Rb2 0.5926 0.5926 0.5926
Na1 0.0000 0.0000 0.0000
# - space group = No. 166
# - magnetization (μB/cell) = 0.00
# - DFT total energy (eV per cell) = -49.52
# - density of states at the Fermi level (states/eV/atom) = 0.6701
# - energy of formation from the pure elements (meV/atom) = 14

***

# RbNaTlPt, optimized geometry, DFT PBE
data_RbNaTlPt
_cell_length_a 4.7643
_cell_length_b 4.7643
_cell_length_c 7.9604
_cell_angle_alpha 90.28
_cell_angle_beta 90.28
_cell_angle_gamma 59.99
_space_group_name_H-M_alt 'P 1'
_space_group_IT_number 1
loop_
_space_group_symop_operation_xyz
'x,y,z'
loop_
_atom_site_label
_atom_site_fract_x
_atom_site_fract_y
_atom_site_fract_z
Tl1 0.0242 0.0242 0.8841
Pt1 0.6908 0.6908 0.8819
Rb1 0.3589 0.3590 0.1929
Na1 0.3566 0.3565 0.6903
# - space group = No. 8
# - magnetization (μB/cell) = 0.00
# - DFT total energy (eV per cell) = -11.10
# - density of states at the Fermi level (states/eV/atom) = 0.3377
# - energy of formation from the pure elements (meV/atom) = -102

***

# RbNa2TlPt, optimized geometry, DFT PBE
data_RbNa2TlPt
_cell_length_a 5.7174
_cell_length_b 5.7174
_cell_length_c 5.2955
_cell_angle_alpha 90.00
_cell_angle_beta 90.00
_cell_angle_gamma 90.00
_space_group_name_H-M_alt 'P 1'
_space_group_IT_number 1
loop_
_space_group_symop_operation_xyz
'x,y,z'
loop_
_atom_site_label
_atom_site_fract_x
_atom_site_fract_y
_atom_site_fract_z
Na1 0.0000 0.5000 0.0000
Na2 0.5000 0.0000 0.0000
Tl1 0.0000 0.0000 0.5000
Rb1 0.5000 0.5000 0.5000
Pt1 0.0000 0.0000 0.0000
# - space group = No. 123
# - magnetization (μB/cell) = 0.00
# - DFT total energy (eV per cell) = -12.69
# - density of states at the Fermi level (states/eV/atom) = 0.4552
# - energy of formation from the pure elements (meV/atom) = -136

***

# RbNa2ZnPt, optimized geometry, DFT PBE
data_RbNa2ZnPt
_cell_length_a 5.6018
_cell_length_b 5.6018
_cell_length_c 4.9989
_cell_angle_alpha 90.00
_cell_angle_beta 90.00
_cell_angle_gamma 90.00
_space_group_name_H-M_alt 'P 1'
_space_group_IT_number 1
loop_
_space_group_symop_operation_xyz
'x,y,z'
loop_
_atom_site_label
_atom_site_fract_x
_atom_site_fract_y
_atom_site_fract_z
Pt1 0.0000 0.0000 0.0000
Zn1 0.0000 0.0000 0.5000
Rb1 0.5000 0.5000 0.5000
Na1 0.5000 0.0000 0.0000
Na2 0.0000 0.5000 0.0000
# - space group = No. 123
# - magnetization (μB/cell) = 0.00
# - DFT total energy (eV per cell) = -11.33
# - density of states at the Fermi level (states/eV/atom) = 0.6474
# - energy of formation from the pure elements (meV/atom) = -83

***

# NaRePt, optimized geometry, DFT PBE
data_NaRePt
_cell_length_a 4.6499
_cell_length_b 4.6499
_cell_length_c 2.6535
_cell_angle_alpha 90.00
_cell_angle_beta 90.00
_cell_angle_gamma 120.00
_space_group_name_H-M_alt 'P 1'
_space_group_IT_number 1
loop_
_space_group_symop_operation_xyz
'x,y,z'
loop_
_atom_site_label
_atom_site_fract_x
_atom_site_fract_y
_atom_site_fract_z
Na1 0.0000 0.0000 0.5000
Re1 0.3333 0.6667 0.0000
Pt1 0.6667 0.3333 0.0000
# - space group = No. 187
# - energy above the most stable polymorph in this dataset (meV/atom) = 598.4
# - magnetization (μB/cell) = 0.00
# - DFT total energy (eV per cell) = -18.10
# - density of states at the Fermi level (states/eV/atom) = 0.7681
# - energy of formation from the pure elements (meV/atom) = 569